# HfBeSi

An optimized crystal structure of HfBeSi (PBE, OQMD).

Values from the calculation:
The total DFT energy (no corrections) is -18.88 eV per formula unit. As for the total magnetization: 0.0 μB/f.u.

Cell lengths 7.2025, 7.2025, 3.1334 Å; angles 90.00, 90.00, 120.00 degrees
Closest atoms and distances in Å follow each position.
Fractional coordinates of all 9 atoms:
Hf 0.0000 0.2923 0.0000  4 Si 2.56-2.62
Hf 0.2923 0.0000 0.0000  4 Si 2.56-2.62
Hf 0.7077 0.7077 0.0000  4 Si 2.56-2.62
Be 0.0000 0.6278 0.5000  5 Si 2.68-2.76, 6 Hf 2.88-2.90
Be 0.3722 0.3722 0.5000  5 Si 2.68-2.76, 6 Hf 2.88-2.90
Be 0.6278 0.0000 0.5000  5 Si 2.68-2.76, 6 Hf 2.88-2.90
Si 0.0000 0.0000 0.5000  6 Hf 2.62, 3 Be 2.68
Si 0.3333 0.6667 0.0000  3 Hf 2.56, 6 Be 2.76
Si 0.6667 0.3333 0.0000  3 Hf 2.56, 6 Be 2.76